Entry 1:
# Ta2CoSiH

An optimized crystal structure of Ta2CoSiH (PBE-GGA, Alexandria via LeMat-Bulk).

Properties
Raw total energy, Ry per atom: -0.5950
DOS(E_F), states/eV/atom: 0.602

Unit cell a=4.054 b=4.054 c=3.734 alpha=90.00 beta=90.00 gamma=90.00
Space group P4/mmm (No. 123)
Symmetry-distinct sites (fractional):
1 Ta 0.000 0.500 0.000 x2
2 Co 0.000 0.000 0.500 x1
3 Si 0.500 0.500 0.500 x1
4 H 0.000 0.000 0.000 x1


Entry 2:
# TaCoSiH2

An optimized crystal structure of TaCoSiH2 (PBE-GGA, Alexandria via LeMat-Bulk).

Properties
Raw total energy, Ry per atom: -0.4330
DOS(E_F), states/eV/atom: 0.135

Unit cell a=3.466 b=3.466 c=4.417 alpha=90.00 beta=90.00 gamma=90.00
Space group P4/mmm (No. 123)
Symmetry-distinct sites (fractional):
1 Ta 0.000 0.000 0.000 x1
2 Co 0.500 0.500 0.500 x1
3 Si 0.500 0.500 0.000 x1
4 H 0.000 0.500 0.500 x2


Entry 3:
# TaCo2SiH

An optimized crystal structure of TaCo2SiH (PBE-GGA, Alexandria via LeMat-Bulk).

Properties
Raw total energy, Ry per atom: -0.5265
DOS(E_F), states/eV/atom: 0.840

Unit cell a=3.699 b=3.699 c=3.896 alpha=90.00 beta=90.00 gamma=90.00
Space group P4/mmm (No. 123)
Symmetry-distinct sites (fractional):
1 Ta 0.000 0.000 0.000 x1
2 Co 0.000 0.500 0.500 x2
3 Si 0.500 0.500 0.000 x1
4 H 0.000 0.000 0.500 x1


Entry 4:
# TbCoSiH

An optimized crystal structure of TbCoSiH (PBE-GGA, Alexandria via LeMat-Bulk).

Properties
Raw total energy, Ry per atom: -0.4332
DOS(E_F), states/eV/atom: 0.524

Unit cell a=3.847 b=3.847 c=7.394 alpha=90.00 beta=90.00 gamma=90.00
Space group P4/nmm (No. 129, origin choice 2)
Symmetry-distinct sites (fractional):
1 Tb 0.250 0.250 0.165 x2
2 Co 0.250 0.750 0.500 x2
3 Si 0.250 0.250 0.662 x2
4 H 0.250 0.750 0.000 x2


Entry 5:
# CoSiTeH2

An optimized crystal structure of CoSiTeH2 (PBE-GGA, Alexandria via LeMat-Bulk).

Properties
Raw total energy, Ry per atom: -0.2879
DOS(E_F), states/eV/atom: 0.508

Unit cell a=3.705 b=3.705 c=4.659 alpha=90.00 beta=90.00 gamma=90.00
Space group P4/mmm (No. 123)
Symmetry-distinct sites (fractional):
1 Co 0.000 0.000 0.000 x1
2 Si 0.000 0.000 0.500 x1
3 Te 0.500 0.500 0.500 x1
4 H 0.000 0.500 0.000 x2


Entry 6:
# Ti2CoSiH

An optimized crystal structure of Ti2CoSiH (PBE-GGA, Alexandria via LeMat-Bulk).

Properties
Raw total energy, Ry per atom: -0.5025
DOS(E_F), states/eV/atom: 0.724

Unit cell a=3.937 b=3.937 c=3.667 alpha=90.00 beta=90.00 gamma=90.00
Space group P4/mmm (No. 123)
Symmetry-distinct sites (fractional):
1 Ti 0.000 0.500 0.000 x2
2 Co 0.000 0.000 0.500 x1
3 Si 0.500 0.500 0.500 x1
4 H 0.000 0.000 0.000 x1


Entry 7:
# TiCo2SiH

An optimized crystal structure of TiCo2SiH (PBE-GGA, Alexandria via LeMat-Bulk).

Properties
Raw total energy, Ry per atom: -0.4828
DOS(E_F), states/eV/atom: 0.693

Unit cell a=3.672 b=3.672 c=3.714 alpha=90.00 beta=90.00 gamma=90.00
Space group P4/mmm (No. 123)
Symmetry-distinct sites (fractional):
1 Ti 0.000 0.000 0.000 x1
2 Co 0.000 0.500 0.500 x2
3 Si 0.500 0.500 0.000 x1
4 H 0.000 0.000 0.500 x1


Entry 8:
# TiCo2SiH

An optimized crystal structure of TiCo2SiH (PBE-GGA, Alexandria via LeMat-Bulk).

Properties
Raw total energy, Ry per atom: -0.4885
DOS(E_F), states/eV/atom: 0.358

Unit cell a=3.455 b=9.440 c=6.522 alpha=90.00 beta=90.00 gamma=90.00
Space group Cmcm (No. 63)
Symmetry-distinct sites (fractional):
1 Ti 0.000 0.061 0.250 x4
2 Co 0.000 0.344 0.053 x8
3 Si 0.000 0.223 0.750 x4
4 H 0.000 0.500 0.000 x4


Entry 9:
# TmCoSiH

An optimized crystal structure of TmCoSiH (PBE-GGA, Alexandria via LeMat-Bulk).

Properties
Raw total energy, Ry per atom: -0.4303
DOS(E_F), states/eV/atom: 0.471

Unit cell a=3.813 b=3.813 c=7.151 alpha=90.00 beta=90.00 gamma=90.00
Space group P4/nmm (No. 129, origin choice 2)
Symmetry-distinct sites (fractional):
1 Tm 0.250 0.250 0.162 x2
2 Co 0.250 0.750 0.500 x2
3 Si 0.250 0.250 0.670 x2
4 H 0.250 0.750 0.000 x2


Entry 10:
# V2CoSiH

An optimized crystal structure of V2CoSiH (PBE-GGA, Alexandria via LeMat-Bulk).

Properties
Raw total energy, Ry per atom: -0.5252
DOS(E_F), states/eV/atom: 0.711

Unit cell a=3.641 b=3.641 c=3.833 alpha=90.00 beta=90.00 gamma=90.00
Space group P4/mmm (No. 123)
Symmetry-distinct sites (fractional):
1 V 0.000 0.500 0.000 x2
2 Co 0.000 0.000 0.500 x1
3 Si 0.500 0.500 0.500 x1
4 H 0.000 0.000 0.000 x1


Entry 11:
# VCo2SiH

An optimized crystal structure of VCo2SiH (PBE-GGA, Alexandria via LeMat-Bulk).

Properties
Raw total energy, Ry per atom: -0.4914
DOS(E_F), states/eV/atom: 0.745

Unit cell a=3.569 b=3.569 c=3.678 alpha=90.00 beta=90.00 gamma=90.00
Space group P4/mmm (No. 123)
Symmetry-distinct sites (fractional):
1 V 0.000 0.000 0.000 x1
2 Co 0.000 0.500 0.500 x2
3 Si 0.500 0.500 0.000 x1
4 H 0.000 0.000 0.500 x1


Entry 12:
# Co2SiHW

An optimized crystal structure of Co2SiHW (PBE-GGA, Alexandria via LeMat-Bulk).

Properties
Raw total energy, Ry per atom: -0.5302
DOS(E_F), states/eV/atom: 1.175

Unit cell a=3.620 b=3.620 c=3.900 alpha=90.00 beta=90.00 gamma=90.00
Space group P4/mmm (No. 123)
Symmetry-distinct sites (fractional):
1 Co 0.000 0.500 0.000 x2
2 Si 0.000 0.000 0.500 x1
3 H 0.500 0.500 0.000 x1
4 W 0.500 0.500 0.500 x1


Entry 13:
# YCoSiH

An optimized crystal structure of YCoSiH (PBE-GGA, Alexandria via LeMat-Bulk).

Properties
Raw total energy, Ry per atom: -0.4673
DOS(E_F), states/eV/atom: 0.531

Unit cell a=3.839 b=3.839 c=7.377 alpha=90.00 beta=90.00 gamma=90.00
Space group P4/nmm (No. 129, origin choice 2)
Symmetry-distinct sites (fractional):
1 Y 0.250 0.250 0.165 x2
2 Co 0.250 0.750 0.500 x2
3 Si 0.250 0.250 0.663 x2
4 H 0.250 0.750 0.000 x2


Entry 14:
# Y2CoSiH

An optimized crystal structure of Y2CoSiH (PBE-GGA, Alexandria via LeMat-Bulk).

Properties
Raw total energy, Ry per atom: -0.3935
DOS(E_F), states/eV/atom: 0.661

Unit cell a=5.462 b=5.462 c=3.377 alpha=90.00 beta=90.00 gamma=90.00
Space group P4/mmm (No. 123)
Symmetry-distinct sites (fractional):
1 Y 0.000 0.500 0.000 x2
2 Co 0.000 0.000 0.500 x1
3 Si 0.500 0.500 0.000 x1
4 H 0.500 0.500 0.500 x1


Entry 15:
# Y2CoSiH

An optimized crystal structure of Y2CoSiH (PBE-GGA, Alexandria via LeMat-Bulk).

Properties
Raw total energy, Ry per atom: -0.4538
DOS(E_F), states/eV/atom: 0.451

Unit cell a=4.784 b=4.784 c=3.611 alpha=90.00 beta=90.00 gamma=90.00
Space group P4/mmm (No. 123)
Symmetry-distinct sites (fractional):
1 Y 0.000 0.500 0.000 x2
2 Co 0.000 0.000 0.500 x1
3 Si 0.500 0.500 0.500 x1
4 H 0.000 0.000 0.000 x1


Entry 16:
# ZrCoSiH

An optimized crystal structure of ZrCoSiH (PBE-GGA, Alexandria via LeMat-Bulk).

Properties
Raw total energy, Ry per atom: -0.5026
DOS(E_F), states/eV/atom: 0.438

Unit cell a=3.729 b=3.729 c=6.709 alpha=90.00 beta=90.00 gamma=90.00
Space group P4/nmm (No. 129, origin choice 2)
Symmetry-distinct sites (fractional):
1 Zr 0.250 0.250 0.158 x2
2 Co 0.250 0.750 0.500 x2
3 Si 0.250 0.250 0.691 x2
4 H 0.250 0.750 0.000 x2


Entry 17:
# Sm2CoH

An optimized crystal structure of Sm2CoH (PBE-GGA, Alexandria via LeMat-Bulk).

Properties
Raw total energy, Ry per atom: -0.3658
DOS(E_F), states/eV/atom: 0.733

Unit cell a=3.246 b=3.246 c=7.005 alpha=90.00 beta=90.00 gamma=90.00
Space group P4/mmm (No. 123)
Symmetry-distinct sites (fractional):
1 Sm 0.000 0.000 0.247 x2
2 Co 0.500 0.500 0.000 x1
3 H 0.500 0.500 0.500 x1


Entry 18:
# Sm3Co5H12

An optimized crystal structure of Sm3Co5H12 (PBE-GGA, Alexandria via LeMat-Bulk).

Properties
Raw total energy, Ry per atom: -0.3448
DOS(E_F), states/eV/atom: 0.256

Unit cell a=11.318 b=11.318 c=11.318 alpha=90.00 beta=90.00 gamma=90.00
Space group Ia-3d (No. 230)
Symmetry-distinct sites (fractional):
1 Sm 0.000 0.250 0.125 x24
2 Co 0.000 0.000 0.000 x16
3 Co 0.000 0.250 0.375 x24
4 H 0.039 0.046 0.638 x96


Entry 19:
# SmCoH6

An optimized crystal structure of SmCoH6 (PBE-GGA, Alexandria via LeMat-Bulk).

Properties
Raw total energy, Ry per atom: -0.3200

Unit cell a=4.3764 b=4.3764 c=11.0058 alpha=90.00 beta=90.00 gamma=120.00
Space group R-3m (No. 166, hexagonal axes)
Symmetry-distinct sites (fractional):
1 Sm 0.0000 0.0000 0.0000 x3
2 Co 0.0000 0.0000 0.5000 x3
3 H 0.0063 0.5031 0.9075 x18


Entry 20:
# SmCo2H6

An optimized crystal structure of SmCo2H6 (PBE-GGA, Alexandria via LeMat-Bulk).

Properties
Raw total energy, Ry per atom: -0.3433
DOS(E_F), states/eV/atom: 0.369

Unit cell a=4.3880 b=4.3880 c=4.1827 alpha=90.00 beta=90.00 gamma=120.00
Space group P6/mmm (No. 191)
Symmetry-distinct sites (fractional):
1 Sm 0.0000 0.0000 0.0000 x1
2 Co 0.3333 0.6667 0.5000 x2
3 H 0.0000 0.5000 0.2504 x6